(1)
A plane-wave DFT calculation with PBE-GGA was carried out for a geometry-optimized BeRh2Pb structure.

energy above the most stable polymorph in this dataset	0.382	eV/atom
calculated density	9.47	g/cm3

Cell lengths 4.381, 4.381, 8.310 Å; angles 74.72, 74.72, 90.00 degrees
Fractional coordinates of all 8 atoms:
Be: 0.250 0.750 0.500
Be: 0.500 0.500 0.000
Rh: 0.227 0.625 0.250
Rh: 0.375 0.477 0.750
Rh: 0.875 0.773 0.750
Pb: 0.000 0.000 0.000
Rh: 0.523 0.125 0.250
Pb: 0.750 0.250 0.500

=====

(2)
A plane-wave DFT calculation with PBE-GGA was carried out for a geometry-optimized LaTc2S structure.

energy relative to the elements, uncorrected	-103	meV/atom
calculated density	6.82	g/cm3

Cell lengths 4.646, 4.646, 8.907 Å; angles 74.88, 74.88, 90.00 degrees
Fractional coordinates of all 8 atoms:
S: 0.500 0.500 0.000
Tc: 0.324 0.625 0.250
Tc: 0.875 0.676 0.750
Tc: 0.375 0.574 0.750
S: 0.250 0.750 0.500
La: 0.750 0.250 0.500
Tc: 0.426 0.125 0.250
La: 0.000 0.000 0.000

=====

(3)
A plane-wave DFT calculation with PBE-GGA was carried out for a geometry-optimized ScMn2Al structure.

uncorrected energy	-6.967	eV per atom
calculated density	4.72	g/cm3

Cell lengths 8.780, 8.780, 8.780 Å; angles 19.19, 19.19, 19.19 degrees
Each line ends with the local moment (μB).
Fractional coordinates of all 4 atoms:
Mn: 0.742 0.742 0.742  -2.61
Mn: 0.005 0.005 0.005  2.73
Sc: 0.495 0.495 0.495  0.28
Al: 0.258 0.258 0.258  -0.03

=====

(4)
A plane-wave DFT calculation with PBE-GGA was carried out for a geometry-optimized Th2TcGe5 structure.

uncorrected energy	-6.391	eV per atom
calculated density	8.93	g/cm3

Cell lengths 6.246, 6.246, 6.246 Å; angles 89.92, 120.05, 120.05 degrees
Fractional coordinates of all 8 atoms:
Ge: 0.433 0.710 0.710
Ge: 0.000 0.275 0.275
Tc: 0.000 0.001 0.001
Th: 0.500 0.235 0.735
Ge: 0.567 0.278 0.278
Th: 0.500 0.735 0.235
Ge: 0.000 0.278 0.710
Ge: 0.000 0.710 0.278

=====

(5)
A plane-wave DFT calculation with PBE-GGA was carried out for a geometry-optimized Tb2Pm2Er2In structure.

uncorrected energy	-4.337	eV per atom
calculated density	7.74	g/cm3

Cell lengths 3.566, 7.130, 10.496 Å; angles 62.38, 90.00, 104.48 degrees
Fractional coordinates of all 7 atoms:
In: 0.000 0.000 0.500
Er: 0.304 0.608 0.721
Er: 0.696 0.392 0.279
Tb: 0.631 0.262 0.633
Pm: 0.381 0.762 0.976
Pm: 0.619 0.238 0.024
Tb: 0.369 0.738 0.367

=====

(6)
A plane-wave DFT calculation with PBE-GGA was carried out for a geometry-optimized CsClF2 structure.

energy relative to the elements, uncorrected	-1706	meV/atom
energy above the most stable polymorph in this dataset	0.017	eV/atom
calculated density	3.64	g/cm3

Cell lengths 5.726, 5.726, 9.944 Å; angles 90.00, 90.00, 120.00 degrees
Fractional coordinates of all 12 atoms:
Cl: 0.333 0.667 0.667
Cs: 0.000 0.000 0.500
Cl: 0.000 0.000 0.000
F: 0.000 0.000 0.811
F: 0.333 0.667 0.856
F: 0.667 0.333 0.523
F: 0.000 0.000 0.189
F: 0.667 0.333 0.144
F: 0.333 0.667 0.477
Cl: 0.667 0.333 0.333
Cs: 0.667 0.333 0.833
Cs: 0.333 0.667 0.167

=====

(7)
A plane-wave DFT calculation with PBE-GGA was carried out for a geometry-optimized CaBeZn2 structure.

uncorrected energy	-1.953	eV per atom
calculated density	4.30	g/cm3

Cell lengths 3.003, 3.270, 7.067 Å; angles 90.00, 90.00, 90.00 degrees
Fractional coordinates of all 4 atoms:
Ca: 0.500 0.500 0.734
Zn: 0.000 0.000 0.050
Zn: 0.500 0.500 0.284
Be: 0.000 0.000 0.432

=====

(8)
A plane-wave DFT calculation with PBE-GGA was carried out for a geometry-optimized TaBe2In structure.

uncorrected energy	-5.189	eV per atom
calculated density	8.85	g/cm3

Cell lengths 2.996, 2.996, 6.597 Å; angles 90.00, 90.00, 96.47 degrees
Fractional coordinates of all 4 atoms:
Ta: 0.500 0.500 0.750
Be: 0.000 0.000 0.510
In: 0.500 0.500 0.250
Be: 0.000 0.000 0.990

=====

(9)
A plane-wave DFT calculation with PBE-GGA was carried out for a geometry-optimized SrLiAg4 structure.

uncorrected energy	-2.686	eV per atom
calculated density	6.57	g/cm3

Cell lengths 5.729, 5.729, 5.729 Å; angles 60.00, 60.00, 60.00 degrees
Fractional coordinates of all 6 atoms:
Sr: 0.000 0.000 0.000
Li: 0.250 0.250 0.250
Ag: 0.624 0.624 0.127
Ag: 0.624 0.127 0.624
Ag: 0.624 0.624 0.624
Ag: 0.127 0.624 0.624

=====

(10)
A plane-wave DFT calculation with PBE-GGA was carried out for a geometry-optimized La3Hg2Au2 structure.

uncorrected energy	-3.700	eV per atom
calculated density	9.27	g/cm3

Cell lengths 5.259, 5.276, 9.522 Å; angles 90.00, 105.62, 120.12 degrees
Fractional coordinates of all 7 atoms:
La: 0.446 0.223 0.666
Au: 0.781 0.891 0.670
Au: 0.219 0.109 0.330
La: 0.554 0.777 0.334
Hg: 0.772 0.386 0.157
La: 0.000 0.000 0.000
Hg: 0.228 0.614 0.843

=====

(11)
A plane-wave DFT calculation with PBE-GGA was carried out for a geometry-optimized HfZr4In2 structure.

energy above the most stable polymorph in this dataset	0.000	eV/atom
calculated density	7.97	g/cm3

Cell lengths 7.728, 6.072, 7.894 Å; angles 90.00, 119.63, 90.00 degrees
Fractional coordinates of all 14 atoms:
Zr: 0.586 0.498 0.233
In: 0.191 0.250 0.953
Hf: 0.747 0.250 0.668
Zr: 0.139 0.750 0.918
Zr: 0.861 0.250 0.082
In: 0.317 0.250 0.378
Zr: 0.984 0.750 0.489
In: 0.683 0.750 0.622
Zr: 0.414 0.998 0.767
In: 0.809 0.750 0.047
Hf: 0.253 0.750 0.332
Zr: 0.414 0.502 0.767
Zr: 0.016 0.250 0.511
Zr: 0.586 0.002 0.233

=====

(12)
A plane-wave DFT calculation with PBE-GGA was carried out for a geometry-optimized Ce5Th3As8 structure.

uncorrected energy	-7.000	eV per atom
calculated density	7.70	g/cm3

Cell lengths 8.472, 8.472, 8.475 Å; angles 60.01, 60.01, 60.00 degrees
Each line ends with the local moment (μB).
Fractional coordinates of all 16 atoms:
As: 0.749 0.250 0.751  -0.02
Th: 0.000 0.000 0.500  0.03
As: 0.251 0.750 0.249  -0.02
Th: 0.500 0.000 0.500  0.03
As: 0.250 0.749 0.751  -0.02
As: 0.251 0.251 0.248  -0.01
Ce: 0.000 0.500 0.000  0.62
Ce: 0.500 0.500 0.500  0.68
Ce: 0.500 0.000 0.000  0.62
As: 0.750 0.750 0.249  -0.02
Ce: 0.000 0.000 0.000  0.69
Ce: 0.500 0.500 0.000  0.62
Th: 0.000 0.500 0.500  0.03
As: 0.250 0.250 0.751  -0.02
As: 0.750 0.251 0.249  -0.02
As: 0.749 0.749 0.752  -0.01